Rb4Pu3HgSe8 | GGA-PBE | relaxed

Cell: 9.3520 9.3520 9.3520 Å, 54.91 54.91 54.91°
Last column: nearest neighbours and their distance in Å.
Atoms (fractional coordinates):
Rb 0.0000 0.0000 0.0000  6 Se 3.43
Rb 0.0000 0.5000 0.5000  6 Se 3.47-3.50
Rb 0.5000 0.0000 0.5000  6 Se 3.47-3.50
Rb 0.5000 0.5000 0.0000  6 Se 3.47-3.50
Pu 0.0000 0.0000 0.5000  6 Se 2.89-2.92
Pu 0.0000 0.5000 0.0000  6 Se 2.89-2.92
Pu 0.5000 0.0000 0.0000  6 Se 2.89-2.92
Hg 0.5000 0.5000 0.5000  6 Se 2.98
Se 0.2220 0.7359 0.7359  2 Pu 2.89, 1 Hg 2.98
Se 0.2312 0.2312 0.2312  3 Pu 2.92
Se 0.2641 0.2641 0.7780  2 Pu 2.89, 1 Hg 2.98
Se 0.2641 0.7780 0.2641  2 Pu 2.89, 1 Hg 2.98
Se 0.7359 0.2220 0.7359  2 Pu 2.89, 1 Hg 2.98
Se 0.7359 0.7359 0.2220  2 Pu 2.89, 1 Hg 2.98
Se 0.7688 0.7688 0.7688  3 Pu 2.92
Se 0.7780 0.2641 0.2641  2 Pu 2.89, 1 Hg 2.98

Values from the calculation:
For the total magnetization, the calculation gives 14.0 Bohr magnetons per cell. The volume comes out at 31.86 A^3/atom. The symmetry is No. 166. The value obtained for the formation energy without anion corrections is -1.205 eV/atom.